## w
PBE-GGA NpGeO6, optimized geometry; SG = No. 148
1.0
-1.7829 3.8480 -3.4631
-1.6409 -1.3953 -5.0337
-5.3445 0.2458 -1.3039
Np Ge O
1 1 6
direct
0.5000 0.5000 0.5000
0.0000 0.0000 0.0000
0.2098 0.2749 0.7575
0.7576 0.2097 0.7577
0.7252 0.2425 0.2421
0.2424 0.7903 0.2423
0.7902 0.7251 0.2425
0.2748 0.7575 0.7579

=====

## x
PBE-GGA NpGeO6, optimized geometry; SG = No. 12
1.0
5.3214 -0.2717 -0.7512
-3.0252 4.3862 -0.7512
0.1391 0.2492 4.9328
Np Ge O
1 1 6
direct
0.5000 0.5000 0.5000
0.0000 0.0000 0.0000
0.6247 0.8887 0.7550
0.8887 0.6247 0.7550
0.1113 0.3753 0.2450
0.3753 0.1113 0.2450
0.2386 0.2386 0.7635
0.7614 0.7614 0.2365

=====

Referenced to the most stable arrangement, the calculated values in meV per atom are w 0; x 120.

=====

## w
PBE-GGA NpPa2Ge, optimized geometry; SG = No. 123
1.0
3.7315 0.0000 0.0000
0.0000 3.7315 0.0000
0.0000 0.0000 6.3268
Np Ge Pa
1 1 2
direct
0.5000 0.5000 0.0000
0.5000 0.5000 0.5000
0.0000 0.0000 0.7516
0.0000 0.0000 0.2484

=====

## x
PBE-GGA NpPa2Ge, optimized geometry; SG = No. 123
1.0
-2.0736 1.7375 -3.1890
-3.2290 -3.1917 0.3607
-2.2840 2.6412 2.9242
Np Ge Pa
1 1 2
direct
0.5000 0.5000 0.5000
0.5000 0.0000 0.0000
0.0000 0.0000 0.5000
0.0000 0.5000 0.0000

=====

Referenced to the most stable arrangement, the calculated values in meV per atom are w 135; x 0.

=====

## w
PBE-GGA NpPa2Ge, optimized geometry; SG = No. 225
1.0
5.0002 0.0000 0.0000
2.5001 4.3303 0.0000
2.5001 1.4434 4.0826
Np Ge Pa
1 1 2
direct
0.5000 0.5000 0.5000
0.0000 0.0000 0.0000
0.2500 0.2500 0.2500
0.7500 0.7500 0.7500

=====

## x
PBE-GGA NpPa2Ge, optimized geometry; SG = No. 166
1.0
3.0610 0.0000 0.0000
1.5305 2.6509 0.0000
1.5305 0.8836 10.7628
Np Ge Pa
1 1 2
direct
0.0000 0.0000 0.0000
0.5000 0.5000 0.5000
0.0870 0.0870 0.7390
0.9130 0.9130 0.2610

=====

Referenced to the most stable arrangement, the calculated values in meV per atom are w 0; x 233.

=====

## w
PBE-GGA Np2Ge5Pd3, optimized geometry; SG = No. 72
1.0
-3.0929 -4.8332 -2.1516
5.2767 -6.0579 -2.7046
-0.4528 -6.1735 5.7913
Np Ge Pd
4 10 6
direct
0.1322 0.5981 0.1375
0.6322 0.1375 0.5981
0.8678 0.4019 0.8625
0.3678 0.8625 0.4019
0.3975 0.2641 0.9409
0.8975 0.9409 0.2641
0.6025 0.7359 0.0591
0.1025 0.0591 0.7359
0.4708 0.7792 0.7792
0.5292 0.2208 0.2208
0.7500 0.5000 0.5000
0.2500 0.5000 0.5000
0.0292 0.2208 0.2208
0.9708 0.7792 0.7792
0.3576 0.5363 0.7485
0.8576 0.7485 0.5363
0.6424 0.4637 0.2515
0.1424 0.2515 0.4637
0.2500 0.0000 0.0000
0.7500 0.0000 0.0000

=====

## x
PBE-GGA Np2Ge5Pd3, optimized geometry; SG = No. 36
1.0
4.3836 0.0000 -0.7467
0.0000 6.7598 0.0000
-0.1118 0.0000 12.5838
Np Ge Pd
4 10 6
direct
0.4828 0.7410 0.9656
0.1750 0.7386 0.3499
0.8250 0.2386 0.6501
0.5172 0.2410 0.0344
0.3970 0.3970 0.7940
0.2891 0.5225 0.5782
0.7109 0.0225 0.4218
0.1163 0.2663 0.2326
0.2916 0.9444 0.5832
0.9535 0.0616 0.9070
0.7084 0.4444 0.4168
0.8837 0.7663 0.7674
0.0465 0.5616 0.0930
0.6030 0.8970 0.2060
0.7819 0.7285 0.5639
0.6068 0.5119 0.2136
0.0579 0.9527 0.1159
0.2181 0.2285 0.4361
0.9421 0.4527 0.8841
0.3932 0.0119 0.7864

=====

Referenced to the most stable arrangement, the calculated values in meV per atom are w 0; x 17.

=====

## w
PBE-GGA Np3Ge4Pd4, optimized geometry; SG = No. 71
1.0
-2.9521 -2.6261 1.6016
3.9912 -5.5853 -1.8015
2.6075 4.3513 6.2665
Np Ge Pd
3 4 4
direct
0.1183 0.1183 0.2367
0.8817 0.8817 0.7633
0.0000 0.5000 0.0000
0.2171 0.7171 0.4341
0.7829 0.2829 0.5659
0.5000 0.8031 0.0000
0.5000 0.1969 0.0000
0.3218 0.1222 0.6436
0.6782 0.4786 0.3564
0.6782 0.8778 0.3564
0.3218 0.5214 0.6436

=====

## x
PBE-GGA Np3Ge4Pd4, optimized geometry; SG = No. 38
1.0
-1.3433 -2.5721 2.8962
-0.5742 -2.9416 -5.7805
7.5366 -3.0380 0.7974
Np Ge Pd
3 4 4
direct
0.3897 0.7793 0.2586
0.3897 0.7793 0.7414
0.2871 0.5741 0.0000
0.7192 0.4383 0.7507
0.7192 0.4383 0.2493
0.9601 0.9203 0.5000
0.9611 0.9222 0.0000
0.5947 0.1894 0.5000
0.5919 0.1838 0.0000
0.0930 0.1860 0.7471
0.0930 0.1860 0.2529

=====

Referenced to the most stable arrangement, the calculated values in meV per atom are w 0; x 94.